(1)
Computed, not measured: an optimized crystal structure of LiMg8Sn6 at the PBE level of DFT.

```
15
Lattice="4.1387 2.3895 6.5631 -4.1387 2.3895 6.5631 0.0000 -4.7790 6.5631" Properties=species:S:1:pos:R:3 pbc="T T T"
Li 0.0000 0.0000 0.0000
Mg -1.3939 -2.3734 8.8452
Mg -2.7523 0.0204 10.8440
Mg 0.0000 0.0000 6.5633
Mg -1.3585 2.3938 8.8452
Mg 1.3585 -2.3938 10.8440
Mg 0.0000 0.0000 13.1259
Mg 2.7523 -0.0204 8.8452
Mg 1.3939 2.3734 10.8440
Sn -2.7687 0.0211 7.8615
Sn -1.4027 -2.3872 11.8277
Sn 1.3660 -2.4083 7.8615
Sn -1.3660 2.4083 11.8277
Sn 1.4026 2.3872 7.8615
Sn 2.7687 -0.0211 11.8277
```

Computed properties:
Formation energy from the elements: -0.067 eV per atom
Electronic total energy: -2.647 eV/atom
M_tot: 0.0 μB/f.u.
Space-group type: R-3, No. 148

=====

(2)
Computed, not measured: an optimized crystal structure of Li2MgSn4 at the PBE level of DFT.

```
7
Lattice="-3.4356 3.4356 3.4804 3.4356 -3.4356 3.4804 3.4356 3.4356 -3.4804" Properties=species:S:1:pos:R:3 pbc="T T T"
Li 3.4356 0.0000 0.0000
Li 0.0000 3.4356 0.0000
Mg 0.0000 0.0000 0.0000
Sn 1.7178 1.7178 -1.7402
Sn 1.7178 -1.7178 1.7402
Sn -1.7178 1.7178 1.7402
Sn 1.7178 1.7178 1.7402
```

Computed properties:
Formation energy from the elements: -0.162 eV per atom
Electronic total energy: -3.224 eV/atom
M_tot: 0.0 μB/f.u.
Space-group type: I4/mmm, No. 139
Energy relative to the lowest polymorph listed for this composition: 0.000 eV/atom

=====

(3)
Computed, not measured: an optimized crystal structure of Li9Mg4Sn11 at the PBE level of DFT.

```
24
Lattice="7.7832 -10.8455 0.0000 7.7832 10.8455 0.0000 0.0000 0.0000 3.1600" Properties=species:S:1:pos:R:3 pbc="T T T"
Li 0.0000 0.0000 0.0000
Li 6.3396 5.6267 0.0000
Li 5.7508 1.5641 0.0000
Li 9.2267 5.6267 0.0000
Li 5.7508 -1.5641 0.0000
Li 9.8155 1.5641 0.0000
Li 6.3396 -5.6267 0.0000
Li 9.8155 -1.5641 0.0000
Li 9.2267 -5.6267 0.0000
Mg 2.4752 2.2391 0.0000
Mg 2.4752 -2.2391 0.0000
Mg 13.0911 2.2391 0.0000
Mg 13.0911 -2.2391 0.0000
Sn 4.4261 3.9942 1.5800
Sn 7.7832 7.8686 1.5800
Sn 3.6912 0.0000 1.5800
Sn 7.7832 3.3515 1.5800
Sn 4.4261 -3.9942 1.5800
Sn 7.7832 0.0000 1.5800
Sn 11.1402 3.9942 1.5800
Sn 7.7832 -3.3515 1.5800
Sn 11.8751 0.0000 1.5800
Sn 7.7832 -7.8686 1.5800
Sn 11.1402 -3.9942 1.5800
```

Computed properties:
Formation energy from the elements: -0.248 eV per atom
Electronic total energy: -3.066 eV/atom
M_tot: 0.0 μB/f.u.
Space-group type: Cmmm, No. 65

=====

(4)
Computed, not measured: an optimized crystal structure of Li2MgSn2 at the PBE level of DFT.

```
5
Lattice="-2.0627 2.0627 6.5790 2.0627 -2.0627 6.5790 2.0627 2.0627 -6.5790" Properties=species:S:1:pos:R:3 pbc="T T T"
Li 2.0627 0.0000 3.2895
Li 0.0000 2.0627 3.2895
Mg 0.0000 0.0000 0.0000
Sn 0.0000 0.0000 5.1924
Sn 0.0000 0.0000 7.9655
```

Computed properties:
Formation energy from the elements: -0.172 eV per atom
Electronic total energy: -2.857 eV/atom
M_tot: 0.0 μB/f.u.
Space-group type: I4/mmm, No. 139

=====

(5)
Computed, not measured: an optimized crystal structure of Li2MgSn at the PBE level of DFT.

```
4
Lattice="0.0000 3.3359 3.3359 3.3359 0.0000 3.3359 3.3359 3.3359 0.0000" Properties=species:S:1:pos:R:3 pbc="T T T"
Li 1.6679 1.6679 1.6679
Li 5.0038 5.0038 5.0038
Mg 0.0000 0.0000 0.0000
Sn 3.3359 3.3359 3.3359
```

Computed properties:
Formation energy from the elements: -0.332 eV per atom
Electronic total energy: -2.688 eV/atom
M_tot: 0.0 μB/f.u.
Space-group type: Fm-3m, No. 225

=====

(6)
Computed, not measured: an optimized crystal structure of Li2MgSn at the PBE level of DFT.

```
4
Lattice="4.3137 0.0000 0.0000 0.0000 4.3137 0.0000 0.0000 0.0000 4.2632" Properties=species:S:1:pos:R:3 pbc="T T T"
Li 0.0000 2.1568 0.0000
Li 2.1568 0.0000 0.0000
Mg 0.0000 0.0000 2.1316
Sn 2.1568 2.1568 2.1316
```

Computed properties:
Formation energy from the elements: -0.271 eV per atom
Electronic total energy: -2.627 eV/atom
M_tot: 0.0 μB/f.u.
Space-group type: P4/mmm, No. 123

=====

(7)
Computed, not measured: an optimized crystal structure of Li6Mg3Sn at the PBE level of DFT.

```
20
Lattice="9.0034 0.0000 0.0000 0.0000 9.7727 0.0000 0.0000 0.0000 4.6331" Properties=species:S:1:pos:R:3 pbc="T T T"
Li 1.2735 0.9451 0.0000
Li 1.4016 8.0134 0.0000
Li 1.7517 5.5082 2.3166
Li 2.7500 0.6219 2.3166
Li 3.1001 3.1270 0.0000
Li 3.2282 5.8315 0.0000
Li 5.7752 3.9413 0.0000
Li 5.9033 6.6457 0.0000
Li 6.2534 9.1508 2.3166
Li 7.2517 4.2645 2.3166
Li 7.6018 1.7594 0.0000
Li 7.7299 8.8276 0.0000
Mg 0.0000 4.8864 0.0000
Mg 0.7888 2.8570 2.3166
Mg 3.7129 7.7434 2.3166
Mg 4.5017 0.0000 0.0000
Mg 5.2905 2.0293 2.3166
Mg 8.2146 6.9157 2.3166
Sn 0.0000 0.0000 2.3166
Sn 4.5017 4.8864 2.3166
```

Computed properties:
Formation energy from the elements: -0.111 eV per atom
Electronic total energy: -2.138 eV/atom
M_tot: 0.0 μB/f.u.
Space-group type: Pbam, No. 55

=====

(8)
Computed, not measured: an optimized crystal structure of Li5Mg2Sn4 at the PBE level of DFT.

```
11
Lattice="8.0726 0.0000 0.0000 0.0000 3.1309 0.0000 -0.1396 0.0000 9.5648" Properties=species:S:1:pos:R:3 pbc="T T T"
Li 0.0000 0.0000 0.0000
Li 0.3810 0.0000 3.2744
Li 2.9343 0.0000 8.4140
Li 4.9987 0.0000 1.1509
Li 7.5520 0.0000 6.2904
Mg 3.2802 0.0000 3.4690
Mg 4.6529 0.0000 6.0959
Sn 1.9444 1.5654 5.8263
Sn 2.1427 1.5654 1.1938
Sn 5.7903 1.5654 8.3711
Sn 5.9886 1.5654 3.7385
```

Computed properties:
Formation energy from the elements: -0.272 eV per atom
Electronic total energy: -2.887 eV/atom
M_tot: 0.0 μB/f.u.
Space-group type: P2/m, No. 10